# 1
A plane-wave DFT calculation with PBE was carried out for an optimized crystal structure of Pa2RhCN5.

The structure belongs to space group P4/mbm (No. 127); the cell edges are 6.795, 6.795 and 4.718 Å and the angles 90.00°, 90.00° and 90.00°. Symmetry generates all atoms from Pa at (0.192, 0.308, 0.000), Rh at (0.000, 0.000, 0.500), C at (0.000, 0.500, 0.500), N at (0.000, 0.000, 0.000) and N at (0.113, 0.613, 0.272).

Its raw formation energy is 0.26 eV/f.u. The final energy is -8.548 eV per atom. The value obtained for the total magnetization is 1.43 μB per cell.

---

# 2
A plane-wave DFT calculation with PBE was carried out for an optimized crystal structure of ScPaCN.

The structure belongs to space group P3m1 (No. 156); the cell edges are 3.3379, 3.3379 and 5.7688 Å and the angles 90.00°, 90.00° and 120.00°. Symmetry generates all atoms from Sc at (0.0000, 0.0000, 0.0000), Pa at (0.6667, 0.3333, 0.5017), C at (0.3333, 0.6667, 0.7515) and N at (0.3333, 0.6667, 0.2353).

Its raw formation energy is -4.04 eV/f.u. The final energy is -9.354 eV per atom. The value obtained for the total magnetization is 0.00 μB per cell.

---

# 3
A plane-wave DFT calculation with PBE was carried out for an optimized crystal structure of PaCSeN2.

The structure belongs to space group P2_1/m (No. 11); the cell edges are 7.154, 4.004 and 7.206 Å and the angles 90.00°, 90.14° and 90.00°. Symmetry generates all atoms from Pa at (0.248, 0.250, 0.415), C at (0.252, 0.750, 0.655), Se at (0.247, 0.750, 0.156), N at (0.080, 0.750, 0.629) and N at (0.424, 0.750, 0.632).

Its raw formation energy is -2.67 eV/f.u. The final energy is -8.306 eV per atom. The value obtained for the total magnetization is 1.48 μB per cell.

---

# 4
A plane-wave DFT calculation with PBE was carried out for an optimized crystal structure of Pa2SnCN5.

The structure belongs to space group P4/mbm (No. 127); the cell edges are 6.611, 6.611 and 5.228 Å and the angles 90.00°, 90.00° and 90.00°. Symmetry generates all atoms from Pa at (0.188, 0.312, 0.000), Sn at (0.000, 0.000, 0.500), C at (0.000, 0.500, 0.500), N at (0.000, 0.000, 0.000) and N at (0.122, 0.622, 0.278).

Its raw formation energy is -0.92 eV/f.u. The final energy is -8.307 eV per atom. The value obtained for the total magnetization is 0.00 μB per cell.

---

# 5
A plane-wave DFT calculation with PBE was carried out for an optimized crystal structure of SrPa3C4N12.

The structure belongs to space group R32 (No. 155, hexagonal axes); the cell edges are 10.2048, 10.2048 and 8.9727 Å and the angles 90.00°, 90.00° and 120.00°. Symmetry generates all atoms from Sr at (0.0000, 0.0000, 0.0000), Pa at (0.0000, 0.5354, 0.0000), C at (0.0000, 0.0000, 0.5000), C at (0.0000, 0.4652, 0.5000), N at (0.0000, 0.5988, 0.5000), N at (0.0000, 0.8665, 0.5000) and N at (0.0015, 0.2046, 0.8079).

Its raw formation energy is -10.70 eV/f.u. The final energy is -8.883 eV per atom. The value obtained for the total magnetization is 6.80 μB per cell.

---

# 6
A plane-wave DFT calculation with PBE was carried out for an optimized crystal structure of PaTiCN.

The structure belongs to space group Cm (No. 8); the cell edges are 5.576, 3.218 and 6.005 Å and the angles 90.00°, 107.94° and 90.00°. Symmetry generates all atoms from Pa at (0.000, 0.000, 0.000), Ti at (0.175, 0.000, 0.522), C at (0.075, 0.500, 0.725) and N at (0.263, 0.500, 0.287).

Its raw formation energy is -3.58 eV/f.u. The final energy is -9.630 eV per atom. The value obtained for the total magnetization is 0.00 μB per cell.

---

# 7
A plane-wave DFT calculation with PBE was carried out for an optimized crystal structure of Pa2TlCN5.

The structure belongs to space group P4/mbm (No. 127); the cell edges are 6.678, 6.678 and 5.216 Å and the angles 90.00°, 90.00° and 90.00°. Symmetry generates all atoms from Pa at (0.192, 0.308, 0.000), Tl at (0.000, 0.000, 0.500), C at (0.000, 0.500, 0.500), N at (0.000, 0.000, 0.000) and N at (0.117, 0.617, 0.276).

Its raw formation energy is -0.79 eV/f.u. The final energy is -8.111 eV per atom. The value obtained for the total magnetization is 0.00 μB per cell.

---

# 8
A plane-wave DFT calculation with PBE was carried out for an optimized crystal structure of Pa2TlC2N6.

The structure belongs to space group C2/m (No. 12); the cell edges are 10.476, 5.957 and 5.991 Å and the angles 90.00°, 117.06° and 90.00°. Symmetry generates all atoms from Pa at (0.174, 0.000, 0.297), Tl at (0.000, 0.500, 0.000), C at (0.155, 0.000, 0.742), N at (0.073, 0.000, 0.865) and N at (0.196, 0.194, 0.671).

Its raw formation energy is -6.44 eV/f.u. The final energy is -8.745 eV per atom. The value obtained for the total magnetization is 0.00 μB per cell.

---

# 9
A plane-wave DFT calculation with PBE was carried out for an optimized crystal structure of TmPaCN.

The structure belongs to space group R3m (No. 160, hexagonal axes); the cell edges are 3.5458, 3.5458 and 17.0132 Å and the angles 90.00°, 90.00° and 120.00°. Symmetry generates all atoms from Tm at (0.0000, 0.0000, 0.0000), Pa at (0.0000, 0.0000, 0.5003), C at (0.0000, 0.0000, 0.7548) and N at (0.0000, 0.0000, 0.2467).

Its raw formation energy is -4.38 eV/f.u. The final energy is -8.974 eV per atom. The value obtained for the total magnetization is 0.00 μB per cell.

---

# 10
A plane-wave DFT calculation with PBE was carried out for an optimized crystal structure of UPaCN.

The structure belongs to space group R3m (No. 160, hexagonal axes); the cell edges are 3.4197, 3.4197 and 18.0498 Å and the angles 90.00°, 90.00° and 120.00°. Symmetry generates all atoms from U at (0.0000, 0.0000, 0.0000), Pa at (0.0000, 0.0000, 0.1721), C at (0.0000, 0.0000, 0.7521) and N at (0.0000, 0.0000, 0.5850).

Its raw formation energy is -2.60 eV/f.u. The final energy is -10.234 eV per atom. The value obtained for the total magnetization is 4.33 μB per cell.

---

# 11
A plane-wave DFT calculation with PBE was carried out for an optimized crystal structure of YPaCN.

The structure belongs to space group R3m (No. 160, hexagonal axes); the cell edges are 3.5794, 3.5794 and 17.2052 Å and the angles 90.00°, 90.00° and 120.00°. Symmetry generates all atoms from Y at (0.0000, 0.0000, 0.0000), Pa at (0.0000, 0.0000, 0.4996), C at (0.0000, 0.0000, 0.2428) and N at (0.0000, 0.0000, 0.7567).

Its raw formation energy is -4.26 eV/f.u. The final energy is -9.443 eV per atom. The value obtained for the total magnetization is 0.00 μB per cell.

---

# 12
A plane-wave DFT calculation with PBE was carried out for an optimized crystal structure of Pa2ZnCN5.

The structure belongs to space group P4/mbm (No. 127); the cell edges are 6.674, 6.674 and 4.983 Å and the angles 90.00°, 90.00° and 90.00°. Symmetry generates all atoms from Pa at (0.191, 0.309, 0.000), Zn at (0.000, 0.000, 0.500), C at (0.000, 0.500, 0.500), N at (0.000, 0.000, 0.000) and N at (0.117, 0.617, 0.277).

Its raw formation energy is -0.87 eV/f.u. The final energy is -7.998 eV per atom. The value obtained for the total magnetization is 0.00 μB per cell.

---

# 13
A plane-wave DFT calculation with PBE was carried out for an optimized crystal structure of Zr2Pa3C2N4.

The structure belongs to space group I4/mmm (No. 139); the cell edges are 3.851, 3.851 and 22.871 Å and the angles 90.00°, 90.00° and 90.00°. Symmetry generates all atoms from Zr at (0.000, 0.000, 0.097), Pa at (0.000, 0.000, 0.301), Pa at (0.000, 0.000, 0.500), C at (0.000, 0.000, 0.199) and N at (0.000, 0.500, 0.060).

Its raw formation energy is -10.41 eV/f.u. The final energy is -9.795 eV per atom. The value obtained for the total magnetization is 1.06 μB per cell.

---

# 14
A plane-wave DFT calculation with PBE was carried out for an optimized crystal structure of ZrPaCN.

The structure belongs to space group Cm (No. 8); the cell edges are 5.862, 3.385 and 6.199 Å and the angles 90.00°, 108.30° and 90.00°. Symmetry generates all atoms from Zr at (0.000, 0.000, 0.000), Pa at (0.322, 0.500, 0.468), C at (0.407, 0.000, 0.222) and N at (0.244, 0.000, 0.732).

Its raw formation energy is -3.67 eV/f.u. The final energy is -9.815 eV per atom. The value obtained for the total magnetization is 0.00 μB per cell.

---

# 15
A plane-wave DFT calculation with PBE was carried out for an optimized crystal structure of PbC3N.

The structure belongs to space group Pm-3m (No. 221); the cell edges are 3.779, 3.779 and 3.779 Å and the angles 90.00°, 90.00° and 90.00°. Symmetry generates all atoms from Pb at (0.000, 0.000, 0.000), C at (0.000, 0.500, 0.500) and N at (0.500, 0.500, 0.500).

Its raw formation energy is 16.47 eV/f.u. The final energy is -4.646 eV per atom. The value obtained for the total magnetization is 0.00 μB per cell.

---

# 16
A plane-wave DFT calculation with PBE was carried out for an optimized crystal structure of Pb2CN2.

The structure belongs to space group C2/m (No. 12); the cell edges are 10.142, 3.517 and 6.200 Å and the angles 90.00°, 114.67° and 90.00°. Symmetry generates all atoms from Pb at (0.180, 0.000, 0.169), C at (0.000, 0.000, 0.500) and N at (0.127, 0.000, 0.519).

Its raw formation energy is 1.53 eV/f.u. The final energy is -6.352 eV per atom. The value obtained for the total magnetization is 0.00 μB per cell.

---

# 17
A plane-wave DFT calculation with PBE was carried out for an optimized crystal structure of Pb4C2N.

The structure belongs to space group I4/mmm (No. 139); the cell edges are 5.406, 5.406 and 11.747 Å and the angles 90.00°, 90.00° and 90.00°. Symmetry generates all atoms from Pb at (0.000, 0.000, 0.213), Pb at (0.000, 0.500, 0.000), C at (0.000, 0.000, 0.446) and N at (0.000, 0.000, 0.000).

Its raw formation energy is 6.74 eV/f.u. The final energy is -4.981 eV per atom. The value obtained for the total magnetization is 0.00 μB per cell.

---

# 18
A plane-wave DFT calculation with PBE was carried out for an optimized crystal structure of PdPb2CN.

The structure belongs to space group P4/mmm (No. 123); the cell edges are 5.541, 5.541 and 3.674 Å and the angles 90.00°, 90.00° and 90.00°. Symmetry generates all atoms from Pd at (0.000, 0.000, 0.000), Pb at (0.000, 0.500, 0.000), C at (0.500, 0.500, 0.500) and N at (0.000, 0.000, 0.500).

Its raw formation energy is 7.96 eV/f.u. The final energy is -4.440 eV per atom. The value obtained for the total magnetization is 0.25 μB per cell.

---

# 19
A plane-wave DFT calculation with PBE was carried out for an optimized crystal structure of Pr2PbC2N6.

The structure belongs to space group P-1 (No. 2); the cell edges are 5.162, 5.436 and 6.464 Å and the angles 114.23°, 102.61° and 99.82°. Symmetry generates all atoms from Pr at (0.248, 0.109, 0.313), Pb at (0.500, 0.500, 0.000), C at (0.011, 0.520, 0.242), N at (0.114, 0.264, 0.705), N at (0.144, 0.753, 0.893) and N at (0.299, 0.605, 0.331).

Its raw formation energy is -3.14 eV/f.u. The final energy is -7.710 eV per atom. The value obtained for the total magnetization is 0.00 μB per cell.

---

# 20
A plane-wave DFT calculation with PBE was carried out for an optimized crystal structure of PbCS2N.

The structure belongs to space group P4/mmm (No. 123); the cell edges are 4.234, 4.234 and 4.328 Å and the angles 90.00°, 90.00° and 90.00°. Symmetry generates all atoms from Pb at (0.000, 0.000, 0.000), C at (0.500, 0.500, 0.500), S at (0.000, 0.500, 0.500) and N at (0.500, 0.500, 0.000).

Its raw formation energy is 7.85 eV/f.u. The final energy is -4.333 eV per atom. The value obtained for the excess energy over the best structure of this formula in the dataset is 0.0 meV/atom. The value obtained for the total magnetization is 1.69 μB per cell.

---

# 21
A plane-wave DFT calculation with PBE was carried out for an optimized crystal structure of PbCS2N.

The structure belongs to space group P4/mmm (No. 123); the cell edges are 5.367, 5.367 and 4.438 Å and the angles 90.00°, 90.00° and 90.00°. Symmetry generates all atoms from Pb at (0.000, 0.000, 0.000), C at (0.500, 0.500, 0.500), S at (0.000, 0.500, 0.000) and N at (0.000, 0.000, 0.500).

Its raw formation energy is 13.18 eV/f.u. The final energy is -3.267 eV per atom. The value obtained for the excess energy over the best structure of this formula in the dataset is 1066.5 meV/atom. The value obtained for the total magnetization is 1.89 μB per cell.

---

# 22
A plane-wave DFT calculation with PBE was carried out for an optimized crystal structure of Sc6Pb2CN.

The structure belongs to space group Fm-3m (No. 225); the cell edges are 9.058, 9.058 and 9.058 Å and the angles 90.00°, 90.00° and 90.00°. Symmetry generates all atoms from Sc at (0.000, 0.000, 0.249), Pb at (0.250, 0.250, 0.250), C at (0.000, 0.000, 0.500) and N at (0.000, 0.000, 0.000).

Its raw formation energy is -8.67 eV/f.u. The final energy is -7.163 eV per atom. The value obtained for the total magnetization is 0.00 μB per cell.

---

# 23
A plane-wave DFT calculation with PBE was carried out for an optimized crystal structure of SrPbC2N.

The structure belongs to space group P4/mmm (No. 123); the cell edges are 4.558, 4.558 and 4.279 Å and the angles 90.00°, 90.00° and 90.00°. Symmetry generates all atoms from Sr at (0.000, 0.000, 0.000), Pb at (0.500, 0.500, 0.000), C at (0.000, 0.500, 0.500) and N at (0.500, 0.500, 0.500).

Its raw formation energy is 11.71 eV/f.u. The final energy is -4.090 eV per atom. The value obtained for the total magnetization is 0.00 μB per cell.